(1)
An optimized crystal structure of Ac2ThAgTe5. Source: the Alexandria database, functional PBE.

a b c (Å): 4.5588 19.5866 13.6362
angles (deg): 90.00 90.00 90.00
Last column: nearest neighbours and their distance in Å.
Space group Cmc2_1 (No. 36)
Unique sites:
1 Ac 0.0000 0.1139 0.0000 x4  8 Te 3.40-3.52
2 Ac 0.0000 0.1243 0.6198 x4  7 Te 3.34-3.60
3 Th 0.0000 0.1926 0.3199 x4  6 Te 3.04-3.20
4 Ag 0.0000 0.4347 0.7592 x4  4 Te 2.78-2.88
5 Te 0.0000 0.0412 0.3702 x4  2 Ag 2.78, 1 Th 3.04
6 Te 0.0000 0.2916 0.9811 x4  2 Th 3.18, 3 Ac 3.39-3.49
7 Te 0.0000 0.3064 0.6552 x4  1 Ag 2.88, 2 Th 3.20
8 Te 0.0000 0.3559 0.3130 x4  1 Th 3.20, 4 Ac 3.47-3.51
9 Te 0.0000 0.4972 0.0789 x4  1 Ag 2.80

- VASP energy (eV per cell) = -180.92
- ΔE_f (raw) (eV per atom) = -1.2258
- calculated density (g/cm³) = 7.81


(2)
An optimized crystal structure of Ac2TmAgTe5. Source: the Alexandria database, functional PBE.

a b c (Å): 4.5345 19.4613 13.5022
angles (deg): 90.00 90.00 90.00
Last column: nearest neighbours and their distance in Å.
Space group Cmc2_1 (No. 36)
Unique sites:
1 Ac 0.0000 0.1116 0.0000 x4  8 Te 3.38-3.55
2 Ac 0.0000 0.1252 0.6200 x4  8 Te 3.34-3.58
3 Tm 0.0000 0.1918 0.3223 x4  6 Te 2.95-3.14
4 Ag 0.0000 0.4310 0.7691 x4  4 Te 2.76-2.87
5 Te 0.0000 0.0457 0.3808 x4  2 Ag 2.76, 1 Tm 2.95
6 Te 0.0000 0.2874 0.9751 x4  2 Tm 3.09, 3 Ac 3.44
7 Te 0.0000 0.3038 0.6617 x4  1 Ag 2.87, 2 Tm 3.14
8 Te 0.0000 0.3521 0.3132 x4  1 Tm 3.12, 4 Ac 3.46-3.48
9 Te 0.0000 0.4990 0.0892 x4  1 Ag 2.79

- VASP energy (eV per cell) = -171.68
- ΔE_f (raw) (eV per atom) = -1.2969
- calculated density (g/cm³) = 7.63